Record 1
## PmPdPt3 (PBE-GGA)

Data for a relaxed structure of PmPdPt3.

CIF file:
```
data_PmPdPt3
_cell_length_a 7.336
_cell_length_b 13.847
_cell_length_c 4.810
_cell_angle_alpha 90.00
_cell_angle_beta 90.00
_cell_angle_gamma 90.00
_symmetry_space_group_name_H-M 'C m c m'
_symmetry_Int_Tables_number 63
_symmetry_space_group_name_Hall '-C 2c 2'
loop_
_atom_site_label
_atom_site_fract_x
_atom_site_fract_y
_atom_site_fract_z
Pm1 0.000 0.129 0.250
Pd1 0.000 0.330 0.250
Pt1 0.000 0.500 0.000
Pt2 0.171 0.258 0.750
```

---

Record 2
## PmPd9Pt3 (PBE-GGA)

Data for a relaxed structure of PmPd9Pt3.

CIF file:
```
data_PmPd9Pt3
_cell_length_a 5.308
_cell_length_b 12.923
_cell_length_c 6.964
_cell_angle_alpha 90.00
_cell_angle_beta 112.14
_cell_angle_gamma 90.00
_symmetry_space_group_name_H-M 'C 1 2/m 1'
_symmetry_Int_Tables_number 12
loop_
_symmetry_equiv_pos_as_xyz
'x,y,z'
'-x,-y,-z'
'-x,y,-z'
'x,-y,z'
'x+1/2,y+1/2,z'
'-x+1/2,-y+1/2,-z'
'-x+1/2,y+1/2,-z'
'x+1/2,-y+1/2,z'
loop_
_atom_site_label
_atom_site_fract_x
_atom_site_fract_y
_atom_site_fract_z
Pm1 0.000 0.000 0.000
Pd1 0.000 0.500 0.500
Pd2 0.110 0.391 0.218
Pd3 0.170 0.174 0.348
Pt1 0.000 0.000 0.500
Pt2 0.250 0.250 0.000
```

---

Record 3
## Pm2Pd4Pt (PBE-GGA)

Data for a relaxed structure of Pm2Pd4Pt.

CIF file:
```
data_Pm2Pd4Pt
_cell_length_a 11.238
_cell_length_b 5.423
_cell_length_c 9.345
_cell_angle_alpha 90.00
_cell_angle_beta 90.00
_cell_angle_gamma 90.00
_symmetry_space_group_name_H-M 'C m c e'
_symmetry_Int_Tables_number 64
_symmetry_space_group_name_Hall '-C 2ac 2'
loop_
_atom_site_label
_atom_site_fract_x
_atom_site_fract_y
_atom_site_fract_z
Pm1 0.144 0.000 0.000
Pd1 0.000 0.250 0.250
Pd2 0.250 0.249 0.250
Pt1 0.000 0.000 0.500
```

---

Record 4
## Pm3PdPt2 (PBE-GGA)

Data for a relaxed structure of Pm3PdPt2.

CIF file:
```
data_Pm3PdPt2
_cell_length_a 3.593
_cell_length_b 3.593
_cell_length_c 10.747
_cell_angle_alpha 90.00
_cell_angle_beta 90.00
_cell_angle_gamma 90.00
_symmetry_space_group_name_H-M 'P 4/m m m'
_symmetry_Int_Tables_number 123
_symmetry_space_group_name_Hall '-P 4 2'
loop_
_atom_site_label
_atom_site_fract_x
_atom_site_fract_y
_atom_site_fract_z
Pm1 0.000 0.000 0.000
Pm2 0.000 0.000 0.330
Pd1 0.500 0.500 0.500
Pt1 0.500 0.500 0.168
```

## Properties
The distance to the lowest polymorph of the same formula is 7.1 kJ per mole of atoms.

---

Record 5
## PmPd6Pt2 (PBE-GGA)

Data for a relaxed structure of PmPd6Pt2.

CIF file:
```
data_PmPd6Pt2
_cell_length_a 5.4476
_cell_length_b 5.4476
_cell_length_c 7.0091
_cell_angle_alpha 90.00
_cell_angle_beta 90.00
_cell_angle_gamma 120.00
_symmetry_space_group_name_H-M 'P 6/m m m'
_symmetry_Int_Tables_number 191
_symmetry_space_group_name_Hall '-P 6 2'
loop_
_atom_site_label
_atom_site_fract_x
_atom_site_fract_y
_atom_site_fract_z
Pm1 0.0000 0.0000 0.0000
Pd1 0.0000 0.5000 0.1927
Pt1 0.3333 0.6667 0.5000
```

---

Record 6
## Pm5Pd2Pt (PBE-GGA)

Data for a relaxed structure of Pm5Pd2Pt.

CIF file:
```
data_Pm5Pd2Pt
_cell_length_a 7.442
_cell_length_b 7.442
_cell_length_c 15.193
_cell_angle_alpha 90.00
_cell_angle_beta 90.00
_cell_angle_gamma 90.00
_symmetry_space_group_name_H-M 'I 4/m c m'
_symmetry_Int_Tables_number 140
_symmetry_space_group_name_Hall '-I 4 2c'
loop_
_atom_site_label
_atom_site_fract_x
_atom_site_fract_y
_atom_site_fract_z
Pm1 0.000 0.000 0.000
Pm2 0.169 0.331 0.149
Pd1 0.132 0.368 0.500
Pt1 0.000 0.000 0.250
```

---

Record 7
## Pm12PdPt6 (PBE-GGA)

Data for a relaxed structure of Pm12PdPt6.

CIF file:
```
data_Pm12PdPt6
_cell_length_a 12.9441
_cell_length_b 12.9441
_cell_length_c 11.9062
_cell_angle_alpha 90.00
_cell_angle_beta 90.00
_cell_angle_gamma 120.00
_symmetry_space_group_name_H-M 'R -3'
_symmetry_Int_Tables_number 148
_symmetry_space_group_name_Hall '-R 3'
loop_
_atom_site_label
_atom_site_fract_x
_atom_site_fract_y
_atom_site_fract_z
Pm1 0.0297 0.8129 0.3936
Pm2 0.0411 0.8304 0.8865
Pd1 0.0000 0.0000 0.0000
Pt1 0.0462 0.7831 0.6482
```

---

Record 8
## Pm6PdPt2 (PBE-GGA)

Data for a relaxed structure of Pm6PdPt2.

CIF file:
```
data_Pm6PdPt2
_cell_length_a 6.771
_cell_length_b 7.405
_cell_length_c 12.042
_cell_angle_alpha 90.00
_cell_angle_beta 119.59
_cell_angle_gamma 90.00
_symmetry_space_group_name_H-M 'P 1 21/c 1'
_symmetry_Int_Tables_number 14
loop_
_symmetry_equiv_pos_as_xyz
'x,y,z'
'-x,-y,-z'
'-x,y+1/2,-z+1/2'
'x,-y+1/2,z+1/2'
loop_
_atom_site_label
_atom_site_fract_x
_atom_site_fract_y
_atom_site_fract_z
Pm1 0.092 0.187 0.428
Pm2 0.244 0.668 0.422
Pm3 0.404 0.046 0.241
Pd1 0.500 0.000 0.500
Pt1 0.170 0.117 0.727
```

---

Record 9
## Pm3PdPt3 (PBE-GGA)

Data for a relaxed structure of Pm3PdPt3.

CIF file:
```
data_Pm3PdPt3
_cell_length_a 8.6771
_cell_length_b 8.6771
_cell_length_c 5.7105
_cell_angle_alpha 90.00
_cell_angle_beta 90.00
_cell_angle_gamma 120.00
_symmetry_space_group_name_H-M 'P 63/m'
_symmetry_Int_Tables_number 176
_symmetry_space_group_name_Hall '-P 6c'
loop_
_atom_site_label
_atom_site_fract_x
_atom_site_fract_y
_atom_site_fract_z
Pm1 0.0457 0.3774 0.2500
Pd1 0.3333 0.6667 0.7500
Pt1 0.0327 0.3320 0.7500
```

---

Record 10
## PmPdPt2 (PBE-GGA)

Data for a relaxed structure of PmPdPt2.

CIF file:
```
data_PmPdPt2
_cell_length_a 5.560
_cell_length_b 8.653
_cell_length_c 8.134
_cell_angle_alpha 90.00
_cell_angle_beta 90.00
_cell_angle_gamma 90.00
_symmetry_space_group_name_H-M 'P m m a'
_symmetry_Int_Tables_number 51
loop_
_symmetry_equiv_pos_as_xyz
'x,y,z'
'-x,-y,-z'
'-x+1/2,-y,z'
'x+1/2,y,-z'
'x+1/2,-y,-z'
'-x+1/2,y,z'
'-x,y,-z'
'x,-y,z'
loop_
_atom_site_label
_atom_site_fract_x
_atom_site_fract_y
_atom_site_fract_z
Pm1 0.250 0.000 0.177
Pm2 0.250 0.500 0.308
Pd1 0.250 0.000 0.806
Pd2 0.250 0.500 0.726
Pt1 0.000 0.000 0.500
Pt2 0.000 0.500 0.000
Pt3 0.250 0.259 0.534
```

---

Record 11
## Pm2Pd6Pt (PBE-GGA)

Data for a relaxed structure of Pm2Pd6Pt.

CIF file:
```
data_Pm2Pd6Pt
_cell_length_a 12.425
_cell_length_b 4.148
_cell_length_c 6.746
_cell_angle_alpha 90.00
_cell_angle_beta 108.91
_cell_angle_gamma 90.00
_symmetry_space_group_name_H-M 'C 1 2/m 1'
_symmetry_Int_Tables_number 12
loop_
_symmetry_equiv_pos_as_xyz
'x,y,z'
'-x,-y,-z'
'-x,y,-z'
'x,-y,z'
'x+1/2,y+1/2,z'
'-x+1/2,-y+1/2,-z'
'-x+1/2,y+1/2,-z'
'x+1/2,-y+1/2,z'
loop_
_atom_site_label
_atom_site_fract_x
_atom_site_fract_y
_atom_site_fract_z
Pm1 0.065 0.000 0.317
Pd1 0.117 0.500 0.679
Pd2 0.171 0.000 0.997
Pd3 0.226 0.500 0.318
Pt1 0.000 0.500 0.000
```

---

Record 12
## Pm2Pd3Pt3 (PBE-GGA)

Data for a relaxed structure of Pm2Pd3Pt3.

CIF file:
```
data_Pm2Pd3Pt3
_cell_length_a 4.178
_cell_length_b 4.219
_cell_length_c 8.304
_cell_angle_alpha 90.00
_cell_angle_beta 90.00
_cell_angle_gamma 90.00
_symmetry_space_group_name_H-M 'P m m m'
_symmetry_Int_Tables_number 47
loop_
_symmetry_equiv_pos_as_xyz
'x,y,z'
'-x,-y,-z'
'-x,-y,z'
'x,y,-z'
'x,-y,-z'
'-x,y,z'
'-x,y,-z'
'x,-y,z'
loop_
_atom_site_label
_atom_site_fract_x
_atom_site_fract_y
_atom_site_fract_z
Pm1 0.000 0.000 0.250
Pd1 0.000 0.500 0.000
Pd2 0.500 0.000 0.000
Pd3 0.500 0.000 0.500
Pt1 0.000 0.500 0.500
Pt2 0.500 0.500 0.250
```

---

Number 1: ΔH_f (0 K) -6 meV per atom. Number 2: ΔH_f (0 K) -273 meV per atom. Number 3: ΔH_f (0 K) -531 meV per atom. Number 4: ΔH_f (0 K) -984 meV per atom. Number 5: ΔH_f (0 K) -85 meV per atom. Number 6: ΔH_f (0 K) -664 meV per atom. Number 7: ΔH_f (0 K) -772 meV per atom. Number 8: ΔH_f (0 K) -678 meV per atom. Number 9: ΔH_f (0 K) -768 meV per atom. Number 10: ΔH_f (0 K) -270 meV per atom. Number 11: ΔH_f (0 K) -620 meV per atom. Number 12: ΔH_f (0 K) -850 meV per atom.